A relaxed K2Na2Zr crystal. Source: Alexandria via LeMat-Bulk, functional PBE-GGA.

Cell lengths 10.539, 10.539, 3.379 Å; angles 90.00, 90.00, 90.00 degrees
Fractional positions:
1 K 0.141 0.359 0.000
2 K 0.359 0.859 0.000
3 K 0.641 0.141 0.000
4 K 0.859 0.641 0.000
5 Na 0.168 0.668 0.500
6 Na 0.332 0.168 0.500
7 Na 0.668 0.832 0.500
8 Na 0.832 0.332 0.500
9 Zr 0.000 0.000 0.000
10 Zr 0.500 0.500 0.000

Results
Symmetry: P4/mbm
Polymorph energy (0 for the lowest one): 0 meV/atom
ΔE_f: 3.63 eV/f.u.